No. 1
# Tb8YCd2

A relaxed structure of Tb8YCd2 (PBE, the Alexandria database).

Calculated values
For the electronic total energy, the calculation gives -4.09 eV/atom. For the density of states at the Fermi level, the calculation gives 27.92 states/eV/cell.

Unit cell a=8.7750 b=15.1738 c=5.6058 alpha=90.00 beta=112.84 gamma=90.00
Space group C2/m (No. 12)
Symmetry-distinct sites (fractional):
Tb 0.0000 0.2199 0.0000
Tb 0.0987 0.5000 0.7981
Tb 0.2072 0.1127 0.6139
Y 0.0000 0.0000 0.0000
Cd 0.0000 0.3057 0.5000

=====

No. 2
# TbY2Cd

A relaxed structure of TbY2Cd (PBE, the Alexandria database).

Calculated values
For the electronic total energy, the calculation gives -4.45 eV/atom. For the density of states at the Fermi level, the calculation gives 12.42 states/eV/cell. The distance to the lowest polymorph of the same formula comes out at 326 meV per atom.

Unit cell a=3.4953 b=3.4953 c=36.3305 alpha=90.00 beta=90.00 gamma=120.00
Space group R-3m (No. 166, hexagonal axes)
Symmetry-distinct sites (fractional):
Tb 0.0000 0.0000 0.0000
Y 0.0000 0.0000 0.4116
Cd 0.0000 0.0000 0.5000

=====

No. 3
# Tb3YCd2

A relaxed structure of Tb3YCd2 (PBE, the Alexandria database).

Calculated values
For the electronic total energy, the calculation gives -3.92 eV/atom. For the density of states at the Fermi level, the calculation gives 8.59 states/eV/cell. The distance to the lowest polymorph of the same formula comes out at 0 meV per atom.

Unit cell a=5.2432 b=9.4416 c=6.9244 alpha=90.00 beta=90.00 gamma=90.00
Space group Pmc2_1 (No. 26)
Symmetry-distinct sites (fractional):
Tb 0.0000 0.0460 0.0000
Tb 0.0000 0.3224 0.3381
Tb 0.5000 0.1769 0.6980
Y 0.5000 0.4550 0.0364
Cd 0.0000 0.3512 0.7920
Cd 0.5000 0.1501 0.2442

=====

No. 4
# TbY2Cd3

A relaxed structure of TbY2Cd3 (PBE, the Alexandria database).

Calculated values
For the electronic total energy, the calculation gives -3.73 eV/atom. For the density of states at the Fermi level, the calculation gives 6.47 states/eV/cell.

Unit cell a=3.7530 b=3.7530 c=11.2672 alpha=90.00 beta=90.00 gamma=90.00
Space group P4/mmm (No. 123)
Symmetry-distinct sites (fractional):
Tb 0.0000 0.0000 0.0000
Y 0.0000 0.0000 0.3333
Cd 0.5000 0.5000 0.1673
Cd 0.5000 0.5000 0.5000

=====

No. 5
# Tb4Y4Cd

A relaxed structure of Tb4Y4Cd (PBE, the Alexandria database).

Calculated values
For the electronic total energy, the calculation gives -5.05 eV/atom. For the density of states at the Fermi level, the calculation gives 29.90 states/eV/cell.

Unit cell a=10.6230 b=10.6230 c=4.9204 alpha=90.00 beta=90.00 gamma=90.00
Space group I4/mmm (No. 139)
Symmetry-distinct sites (fractional):
Tb 0.0000 0.3357 0.0000
Y 0.1628 0.1628 0.5000
Cd 0.0000 0.0000 0.0000

=====

No. 6
# TbYCd6

A relaxed structure of TbYCd6 (PBE, the Alexandria database).

Calculated values
For the electronic total energy, the calculation gives -2.37 eV/atom. For the density of states at the Fermi level, the calculation gives 7.72 states/eV/cell.

Unit cell a=4.8958 b=7.1350 c=10.9475 alpha=90.00 beta=90.00 gamma=90.00
Space group Amm2 (No. 38)
Symmetry-distinct sites (fractional):
Tb 0.0000 0.0000 0.0000
Y 0.5000 0.0000 0.2739
Cd 0.0000 0.0000 0.4633
Cd 0.0000 0.2170 0.7305
Cd 0.5000 0.0000 0.8107
Cd 0.5000 0.2173 0.5430

=====

No. 7
# Tb2Y7Cd2

A relaxed structure of Tb2Y7Cd2 (PBE, the Alexandria database).

Calculated values
For the electronic total energy, the calculation gives -5.10 eV/atom. For the density of states at the Fermi level, the calculation gives 30.62 states/eV/cell.

Unit cell a=9.1484 b=9.5443 c=8.0768 alpha=90.00 beta=104.11 gamma=90.00
Space group C2/m (No. 12)
Symmetry-distinct sites (fractional):
Tb 0.0000 0.1769 0.0000
Y 0.0000 0.0000 0.5000
Y 0.1808 0.2976 0.6759
Y 0.1913 0.5000 0.0378
Cd 0.1027 0.5000 0.3610

=====

No. 8
# TbY2Cd

A relaxed structure of TbY2Cd (PBE, the Alexandria database).

Calculated values
For the electronic total energy, the calculation gives -4.78 eV/atom. For the density of states at the Fermi level, the calculation gives 4.87 states/eV/cell. The distance to the lowest polymorph of the same formula comes out at 0 meV per atom.

Unit cell a=3.6065 b=3.6065 c=9.0488 alpha=90.00 beta=90.00 gamma=90.00
Space group P4/mmm (No. 123)
Symmetry-distinct sites (fractional):
Tb 0.0000 0.0000 0.0000
Y 0.5000 0.5000 0.2744
Cd 0.0000 0.0000 0.5000

=====

> Among the records above, which one has the lowest electronic total energy?

Tb2Y7Cd2

=====

> Among the records above, which one has the highest electronic total energy?

TbYCd6

=====

What did the eighth record say?
# TbY2Cd

A relaxed structure of TbY2Cd (PBE, the Alexandria database).

Calculated values
For the electronic total energy, the calculation gives -4.78 eV/atom. For the density of states at the Fermi level, the calculation gives 4.87 states/eV/cell. The distance to the lowest polymorph of the same formula comes out at 0 meV per atom.

Unit cell a=3.6065 b=3.6065 c=9.0488 alpha=90.00 beta=90.00 gamma=90.00
Space group P4/mmm (No. 123)
Symmetry-distinct sites (fractional):
Tb 0.0000 0.0000 0.0000
Y 0.5000 0.5000 0.2744
Cd 0.0000 0.0000 0.5000

=====

> The lowest electronic total energy belongs to which entry?

Tb2Y7Cd2